The following is a GGA-PBE calculation of a geometry-optimized AcLaHo2Bi4 structure, from Alexandria via LeMat-Bulk.

## Properties
- Energy: -41.1 eV for the cell shown
- Crystal system: monoclinic

Cell lengths 4.6388, 8.0005, 8.0298 Å; angles 70.46, 90.00, 90.00 degrees
Sites, in units of the cell vectors:
Bi: 0.5000 0.2326 0.7513
Bi: 0.5000 0.7674 0.2487
Bi: 0.0000 0.2291 0.2615
Bi: 0.0000 0.7709 0.7385
Ac: 0.5000 0.5000 0.0000
La: 0.0000 0.5000 0.5000
Ho: 0.0000 0.0000 0.0000
Ho: 0.5000 0.0000 0.5000

---

The following is a GGA-PBE calculation of a geometry-optimized Ti3SiC structure, from Alexandria via LeMat-Bulk.

## Properties
- ΔE_f (raw): -0.57 eV per atom
- Crystal system: orthorhombic

Cell lengths 3.3636, 5.3806, 7.5969 Å; angles 90.00, 90.00, 90.00 degrees
Sites, in units of the cell vectors:
Ti: 0.7500 0.0023 0.6476
Ti: 0.2500 0.9977 0.3524
Ti: 0.2500 0.2500 0.9131
Ti: 0.7500 0.7500 0.0869
Ti: 0.7500 0.4977 0.6476
Ti: 0.2500 0.5023 0.3524
Si: 0.7500 0.2500 0.1576
Si: 0.2500 0.7500 0.8424
C: 0.7500 0.7500 0.3981
C: 0.2500 0.2500 0.6019

---

The following is a GGA-PBE calculation of a geometry-optimized Cr2HPdAu structure, from Alexandria via LeMat-Bulk.

## Properties
- Crystal system: tetragonal
- ΔE to the lowest computed polymorph: 0.00 eV/f.u.

Cell lengths 3.8899, 3.8899, 3.9888 Å; angles 90.00, 90.00, 90.00 degrees
Last column: magnetic moment on the atom in μB.
Sites, in units of the cell vectors:
Pd: 0.0000 0.0000 0.5000  0.11
Au: 0.5000 0.5000 0.5000  0.05
Cr: 0.5000 0.0000 0.0000  1.81
Cr: 0.0000 0.5000 0.0000  1.81
H: 0.0000 0.0000 0.0000  -0.02

---

The following is a GGA-PBE calculation of a geometry-optimized SrRe2Ni structure, from Alexandria via LeMat-Bulk.

## Properties
- Crystal system: tetragonal
- ΔE to the lowest computed polymorph: 2.55 eV/f.u.

Cell lengths 4.7833, 4.7833, 9.1750 Å; angles 74.89, 74.89, 90.00 degrees
Sites, in units of the cell vectors:
Re: 0.3750 0.1250 0.2500
Re: 0.3750 0.6250 0.2500
Re: 0.3750 0.6250 0.7500
Re: 0.8750 0.6250 0.7500
Ni: 0.2500 0.7500 0.5000
Ni: 0.5000 0.5000 0.0000
Sr: 0.7500 0.2500 0.5000
Sr: 0.0000 0.0000 0.0000